{"formula": "DyHo3Sc8", "functional": "PBE", "state": "optimized geometry", "formation_enthalpy_0k_ev_per_atom": 0.294, "n_ef_per_ev_atom": 2.025, "sg": "No. 12", "final_energy_ev_per_cell": -65.454, "lattice_angstrom": [[6.218, -5.294, 0.000], [6.218, 5.294, 0.000], [-2.809, 0.000, 5.209]], "species": ["Dy", "Ho", "Ho", "Ho", "Sc", "Sc", "Sc", "Sc", "Sc", "Sc", "Sc", "Sc"], "frac_coords": [[0.000, 0.000, 0.000], [0.251, 0.749, 0.500], [0.500, 0.500, 0.000], [0.749, 0.251, 0.500], [0.074, 0.574, 0.824], [0.250, 0.250, 0.001], [0.250, 0.250, 0.500], [0.426, 0.926, 0.176], [0.574, 0.074, 0.824], [0.750, 0.750, 0.500], [0.750, 0.750, 0.999], [0.926, 0.426, 0.176]]}